Entry from Alexandria: a relaxed CaNiRu4 crystal (PBE).

Structure (CIF):
```
data_CaNiRu4
_chemical_formula_sum 'Ca1 Ni1 Ru4'
_space_group_name_H-M_alt 'P 1'
_space_group_IT_number 1
_space_group_name_Hall 'P 1'
_cell_length_a 5.1875
_cell_length_b 5.1875
_cell_length_c 5.1875
_cell_angle_alpha 60.00
_cell_angle_beta 60.00
_cell_angle_gamma 60.00
loop_
_atom_site_label
_atom_site_fract_x
_atom_site_fract_y
_atom_site_fract_z
Ca1 0.0000 0.0000 0.0000
Ni1 0.7500 0.7500 0.7500
Ru1 0.3756 0.3756 0.3756
Ru2 0.3756 0.3756 0.8731
Ru3 0.3756 0.8731 0.3756
Ru4 0.8731 0.3756 0.3756
```

Size of the total moment = 0.5379 μB per atom
Formation energy = 0.480 eV/atom
Total DFT energy (no corrections) = -7.0007 eV/atom
Space group = F-43m (216)